Entry from Alexandria via LeMat-Bulk: a geometry-optimized MnAlCo2 structure (PBE-GGA).

Structure (POSCAR):
```
MnAlCo2
1.0
3.9308 0.0000 0.0000
0.0000 2.5726 0.0074
0.0000 0.8306 4.7435
Mn Co Al
1 2 1
direct
0.5000 0.2500 0.2500
0.0000 0.0381 0.0025
0.0000 0.4619 0.4975
0.5000 0.7500 0.7500
```

Results
Final energy   -6.90 eV/atom
Density   6.9 Mg/m³
Energy of formation   -0.475 eV per formula unit
Crystal system   monoclinic